Below is La4InRe after structural relaxation, with properties calculated at the PBE level.

Results
- offset from the most stable computed form (meV per atom) = 949
- formation energy (eV/f.u.) = 4.7

Lattice parameters (Å, degrees): 8.8425 8.8425 8.8425 90.00 90.00 90.00
Last column: nearest neighbours and their distance in Å.
Space group F-43m (No. 216)
One atom of each set of equivalent atoms:
La (0.1234, 0.1234, 0.1234) (multiplicity 16)  6 La 3.09-3.17
In (0.0000, 0.0000, 0.5000) (multiplicity 4)  12 La 3.67, 4 Re 3.83
Re (0.2500, 0.2500, 0.7500) (multiplicity 4)  12 La 3.66, 4 In 3.83